DFT (PBE-GGA) results for an optimized crystal structure of ReTcMo.

Cell lengths 4.408, 4.408, 2.715 Å; angles 90.00, 90.00, 120.00 degrees
Sites, in units of the cell vectors:
Re1 0.000 0.000 0.000
Tc1 0.333 0.667 0.380
Mo1 0.667 0.333 0.729

Output
- Crystal system: trigonal
- Energy: -11.0761 eV per atom

DFT (PBE-GGA) results for an optimized crystal structure of Re2TcMo.

Cell lengths 9.325, 9.325, 9.325 Å; angles 17.02, 17.02, 17.02 degrees
Sites, in units of the cell vectors:
Re1 0.248 0.248 0.248
Re2 0.752 0.752 0.752
Tc1 0.500 0.500 0.500
Mo1 0.000 0.000 0.000

Output
- Crystal system: trigonal
- Energy: -11.3881 eV per atom

DFT (PBE-GGA) results for an optimized crystal structure of ReTcMo2.

Cell lengths 4.443, 4.443, 3.115 Å; angles 90.00, 90.00, 90.00 degrees
Sites, in units of the cell vectors:
Re1 0.000 0.000 0.000
Tc1 0.500 0.500 0.000
Mo1 0.000 0.500 0.500
Mo2 0.500 0.000 0.500

Output
- Crystal system: tetragonal
- Energy: -11.0305 eV per atom

DFT (PBE-GGA) results for an optimized crystal structure of ReTcMo2.

Cell lengths 4.815, 4.815, 2.800 Å; angles 90.00, 90.00, 108.32 degrees
Sites, in units of the cell vectors:
Re1 0.000 0.000 0.000
Tc1 0.500 0.500 0.000
Mo1 0.000 0.500 0.500
Mo2 0.500 0.000 0.500

Output
- Crystal system: orthorhombic
- Energy: -10.9353 eV per atom

DFT (PBE-GGA) results for an optimized crystal structure of Re2Tc2Mo.

Cell lengths 5.205, 4.390, 6.799 Å; angles 90.00, 102.15, 90.00 degrees
Sites, in units of the cell vectors:
Re1 0.044 0.250 0.356
Re2 0.124 0.750 0.060
Re3 0.876 0.250 0.940
Re4 0.956 0.750 0.644
Tc1 0.376 0.750 0.431
Tc2 0.458 0.250 0.149
Tc3 0.542 0.750 0.851
Tc4 0.624 0.250 0.569
Mo1 0.249 0.250 0.750
Mo2 0.751 0.750 0.250

Output
- Crystal system: monoclinic
- Energy: -11.1240 eV per atom

DFT (PBE-GGA) results for an optimized crystal structure of ReTcMo2.

Cell lengths 5.191, 5.191, 5.191 Å; angles 144.87, 129.39, 63.10 degrees
Sites, in units of the cell vectors:
Re1 0.000 0.000 0.000
Tc1 0.500 0.500 0.000
Mo1 0.244 0.744 0.500
Mo2 0.756 0.256 0.500

Output
- Crystal system: orthorhombic
- Energy: -11.0206 eV per atom

DFT (PBE-GGA) results for an optimized crystal structure of Re2TcMo.

Cell lengths 5.003, 5.003, 5.003 Å; angles 50.44, 50.44, 50.44 degrees
Sites, in units of the cell vectors:
Re1 0.000 0.000 0.000
Re2 0.193 0.193 0.193
Tc1 0.596 0.596 0.596
Mo1 0.788 0.788 0.788

Output
- Crystal system: trigonal
- Energy: -11.0697 eV per atom

DFT (PBE-GGA) results for an optimized crystal structure of ReTcMo4.

Cell lengths 5.139, 5.139, 5.139 Å; angles 60.00, 60.00, 60.00 degrees
Sites, in units of the cell vectors:
Re1 0.000 0.000 0.000
Tc1 0.750 0.750 0.750
Mo1 0.375 0.375 0.375
Mo2 0.375 0.375 0.875
Mo3 0.375 0.875 0.375
Mo4 0.875 0.375 0.375

Output
- Crystal system: cubic
- Energy: -10.6442 eV per atom

Number 1: E_form 0.139 eV per atom, distance to the lowest polymorph of the same formula 0.027 eV/atom. Number 2: E_form 0.135 eV per atom, distance to the lowest polymorph of the same formula 0.028 eV/atom. Number 3: E_form 0.089 eV per atom, distance to the lowest polymorph of the same formula 0.005 eV/atom. Number 4: E_form 0.184 eV per atom, distance to the lowest polymorph of the same formula 0.100 eV/atom. Number 5: E_form 0.168 eV per atom, distance to the lowest polymorph of the same formula 0.000 eV/atom. Number 6: E_form 0.098 eV per atom, distance to the lowest polymorph of the same formula 0.015 eV/atom. Number 7: E_form 0.454 eV per atom, distance to the lowest polymorph of the same formula 0.347 eV/atom. Number 8: E_form 0.379 eV per atom, distance to the lowest polymorph of the same formula 0.325 eV/atom.